# 1
Entry from Alexandria via LeMat-Bulk: a geometry-optimized SrAl2ZnRu structure (PBE).

It has space group P4/mmm (No. 123), with a = 4.7411 Å, b = 4.7411 Å, c = 4.9549 Å, α = 90.00°, β = 90.00° and γ = 90.00°. Symmetry generates all atoms from Sr at (0.0000, 0.0000, 0.0000), Al at (0.0000, 0.5000, 0.5000), Zn at (0.5000, 0.5000, 0.0000) and Ru at (0.5000, 0.5000, 0.5000).

The calculation puts the final energy at -21.4 eV/cell. As for the formation energy: -0.33 eV per atom. The value obtained for the density of states at the Fermi level is 0.29 states/eV/atom. The magnetic moment comes out at 0.00 μB/f.u.

***

# 2
Entry from Alexandria via LeMat-Bulk: a geometry-optimized Ta2AlRu3 structure (PBE).

It has space group P4/mmm (No. 123), with a = 3.1359 Å, b = 3.1359 Å, c = 9.2795 Å, α = 90.00°, β = 90.00° and γ = 90.00°. Symmetry generates all atoms from Ta at (0.0000, 0.0000, 0.1725), Al at (0.0000, 0.0000, 0.5000), Ru at (0.5000, 0.5000, 0.0000) and Ru at (0.5000, 0.5000, 0.3400).

The calculation puts the final energy at -58.6 eV/cell. As for the formation energy: -0.55 eV per atom. The value obtained for the density of states at the Fermi level is 0.61 states/eV/atom. The magnetic moment comes out at 0.00 μB/f.u.

***

# 3
Entry from Alexandria via LeMat-Bulk: a geometry-optimized TaAl2Ru structure (PBE).

It has space group R-3m (No. 166, hexagonal axes), with a = 2.9038 Å, b = 2.9038 Å, c = 25.9528 Å, α = 90.00°, β = 90.00° and γ = 120.00°. Symmetry generates all atoms from Ta at (0.0000, 0.0000, 0.0000), Al at (0.0000, 0.0000, 0.2430) and Ru at (0.0000, 0.0000, 0.5000).

The calculation puts the final energy at -88.2 eV/cell. As for the formation energy: -0.20 eV per atom. The value obtained for the density of states at the Fermi level is 0.96 states/eV/atom. The magnetic moment comes out at 0.00 μB/f.u.

***

# 4
Entry from Alexandria via LeMat-Bulk: a geometry-optimized TaAl2Ru structure (PBE).

It has space group Fm-3m (No. 225), with a = 6.2453 Å, b = 6.2453 Å, c = 6.2453 Å, α = 90.00°, β = 90.00° and γ = 90.00°. Symmetry generates all atoms from Ta at (0.0000, 0.0000, 0.0000), Al at (0.2500, 0.2500, 0.2500) and Ru at (0.0000, 0.0000, 0.5000).

The calculation puts the final energy at -117.0 eV/cell. As for the formation energy: -0.16 eV per atom. The value obtained for the density of states at the Fermi level is 0.94 states/eV/atom. The magnetic moment comes out at 1.10 μB/f.u.

***

# 5
Entry from Alexandria via LeMat-Bulk: a geometry-optimized TaAl2Ru structure (PBE).

It has space group Immm (No. 71), with a = 2.9929 Å, b = 4.6869 Å, c = 8.9249 Å, α = 90.00°, β = 90.00° and γ = 90.00°. Symmetry generates all atoms from Ta at (0.0000, 0.0000, 0.0000), Al at (0.0000, 0.5000, 0.2339) and Ru at (0.0000, 0.0000, 0.5000).

The calculation puts the final energy at -59.4 eV/cell. As for the formation energy: -0.27 eV per atom. The value obtained for the density of states at the Fermi level is 0.77 states/eV/atom. The magnetic moment comes out at 0.00 μB/f.u.

***

# 6
Entry from Alexandria via LeMat-Bulk: a geometry-optimized TaAl2Ru structure (PBE).

It has space group R3m (No. 160, hexagonal axes), with a = 2.8792 Å, b = 2.8792 Å, c = 26.6657 Å, α = 90.00°, β = 90.00° and γ = 120.00°. Symmetry generates all atoms from Ta at (0.0000, 0.0000, 0.0000), Al at (0.0000, 0.0000, 0.5085), Al at (0.0000, 0.0000, 0.7548) and Ru at (0.0000, 0.0000, 0.2508).

The calculation puts the final energy at -87.8 eV/cell. As for the formation energy: -0.17 eV per atom. The value obtained for the density of states at the Fermi level is 0.89 states/eV/atom. The magnetic moment comes out at 0.00 μB/f.u.

***

# 7
Entry from Alexandria via LeMat-Bulk: a geometry-optimized TaAl2Ru structure (PBE).

It has space group F-43m (No. 216), with a = 6.2689 Å, b = 6.2689 Å, c = 6.2689 Å, α = 90.00°, β = 90.00° and γ = 90.00°. Symmetry generates all atoms from Ta at (0.0000, 0.0000, 0.0000), Al at (0.0000, 0.0000, 0.5000), Al at (0.2500, 0.2500, 0.7500) and Ru at (0.2500, 0.2500, 0.2500).

The calculation puts the final energy at -119.0 eV/cell. As for the formation energy: -0.29 eV per atom. The value obtained for the density of states at the Fermi level is 1.09 states/eV/atom. The magnetic moment comes out at 0.00 μB/f.u.

***

# 8
Entry from Alexandria via LeMat-Bulk: a geometry-optimized TaAl2Ru structure (PBE).

It has space group Cm (No. 8), with a = 9.3652 Å, b = 3.0560 Å, c = 4.5390 Å, α = 90.00°, β = 107.66° and γ = 90.00°. Symmetry generates all atoms from Ta at (0.0000, 0.0000, 0.0000), Al at (0.0210, 0.5000, 0.5121), Al at (0.2618, 0.5000, 0.2688) and Ru at (0.2539, 0.0000, 0.7498).

The calculation puts the final energy at -59.6 eV/cell. As for the formation energy: -0.30 eV per atom. The value obtained for the density of states at the Fermi level is 0.67 states/eV/atom. The magnetic moment comes out at 0.00 μB/f.u.

***

# 9
Entry from Alexandria via LeMat-Bulk: a geometry-optimized Ta2AlRu structure (PBE).

It has space group P4/mmm (No. 123), with a = 2.9391 Å, b = 2.9391 Å, c = 7.6711 Å, α = 90.00°, β = 90.00° and γ = 90.00°. Symmetry generates all atoms from Ta at (0.0000, 0.0000, 0.2315), Al at (0.5000, 0.5000, 0.5000) and Ru at (0.5000, 0.5000, 0.0000).

The calculation puts the final energy at -37.6 eV/cell. As for the formation energy: -0.22 eV per atom. The value obtained for the density of states at the Fermi level is 0.70 states/eV/atom. The magnetic moment comes out at 0.00 μB/f.u.

***

# 10
Entry from Alexandria via LeMat-Bulk: a geometry-optimized TaAl2Ru structure (PBE).

It has space group C2/m (No. 12), with a = 9.4720 Å, b = 2.9883 Å, c = 4.6907 Å, α = 90.00°, β = 109.76° and γ = 90.00°. Symmetry generates all atoms from Ta at (0.0000, 0.0000, 0.0000), Al at (0.2347, 0.0000, 0.7354) and Ru at (0.0000, 0.5000, 0.5000).

The calculation puts the final energy at -59.5 eV/cell. As for the formation energy: -0.28 eV per atom. The value obtained for the density of states at the Fermi level is 0.63 states/eV/atom. The magnetic moment comes out at 0.00 μB/f.u.

***

# 11
Entry from Alexandria via LeMat-Bulk: a geometry-optimized TaAl4Ru5 structure (PBE).

It has space group P4/mmm (No. 123), with a = 3.0677 Å, b = 3.0677 Å, c = 15.0181 Å, α = 90.00°, β = 90.00° and γ = 90.00°. Symmetry generates all atoms from Ta at (0.0000, 0.0000, 0.0000), Al at (0.0000, 0.0000, 0.2084), Al at (0.0000, 0.0000, 0.4013), Ru at (0.5000, 0.5000, 0.1037), Ru at (0.5000, 0.5000, 0.3021) and Ru at (0.5000, 0.5000, 0.5000).

The calculation puts the final energy at -79.8 eV/cell. As for the formation energy: -0.66 eV per atom. The value obtained for the density of states at the Fermi level is 0.77 states/eV/atom. The magnetic moment comes out at 0.00 μB/f.u.

***

# 12
Entry from Alexandria via LeMat-Bulk: a geometry-optimized Ta2AlRu structure (PBE).

It has space group Cmmm (No. 65), with a = 5.6203 Å, b = 7.9850 Å, c = 2.9154 Å, α = 90.00°, β = 90.00° and γ = 90.00°. Symmetry generates all atoms from Ta at (0.2500, 0.2500, 0.0000), Al at (0.0000, 0.0000, 0.5000) and Ru at (0.0000, 0.5000, 0.5000).

The calculation puts the final energy at -75.2 eV/cell. As for the formation energy: -0.22 eV per atom. The value obtained for the density of states at the Fermi level is 0.82 states/eV/atom. The magnetic moment comes out at 0.00 μB/f.u.

***

# 13
Entry from Alexandria via LeMat-Bulk: a geometry-optimized Ta2AlRu structure (PBE).

It has space group P2/m (No. 10), with a = 2.9581 Å, b = 3.9964 Å, c = 5.5307 Å, α = 90.00°, β = 93.17° and γ = 90.00°. Symmetry generates all atoms from Ta at (0.0206, 0.0000, 0.2569), Al at (0.5000, 0.5000, 0.0000) and Ru at (0.5000, 0.5000, 0.5000).

The calculation puts the final energy at -37.7 eV/cell. As for the formation energy: -0.25 eV per atom. The value obtained for the density of states at the Fermi level is 0.70 states/eV/atom. The magnetic moment comes out at 0.00 μB/f.u.

***

# 14
Entry from Alexandria via LeMat-Bulk: a geometry-optimized TaAl2Ru structure (PBE).

It has space group P4mm (No. 99), with a = 3.1271 Å, b = 3.1271 Å, c = 6.2372 Å, α = 90.00°, β = 90.00° and γ = 90.00°. Symmetry generates all atoms from Ta at (0.0000, 0.0000, 0.0000), Al at (0.0000, 0.0000, 0.5218), Al at (0.5000, 0.5000, 0.2670) and Ru at (0.5000, 0.5000, 0.7357).

The calculation puts the final energy at -30.4 eV/cell. As for the formation energy: -0.44 eV per atom. The value obtained for the density of states at the Fermi level is 0.45 states/eV/atom. The magnetic moment comes out at 0.00 μB/f.u.

***

# 15
Entry from Alexandria via LeMat-Bulk: a geometry-optimized TaAl3Ru4 structure (PBE).

It has space group Pmmm (No. 47), with a = 3.0967 Å, b = 4.3102 Å, c = 8.5314 Å, α = 90.00°, β = 90.00° and γ = 90.00°. Symmetry generates all atoms from Ta at (0.0000, 0.0000, 0.0000), Al at (0.0000, 0.0000, 0.5000), Al at (0.0000, 0.5000, 0.2561), Ru at (0.5000, 0.0000, 0.2517), Ru at (0.5000, 0.5000, 0.0000) and Ru at (0.5000, 0.5000, 0.5000).

The calculation puts the final energy at -65.6 eV/cell. As for the formation energy: -0.68 eV per atom. The value obtained for the density of states at the Fermi level is 0.69 states/eV/atom. The magnetic moment comes out at 0.00 μB/f.u.

***

# 16
Entry from Alexandria via LeMat-Bulk: a geometry-optimized TaAl2Ru structure (PBE).

It has space group I4/mmm (No. 139), with a = 3.9486 Å, b = 3.9486 Å, c = 7.9256 Å, α = 90.00°, β = 90.00° and γ = 90.00°. Symmetry generates all atoms from Ta at (0.0000, 0.0000, 0.0000), Al at (0.0000, 0.5000, 0.2500) and Ru at (0.0000, 0.0000, 0.5000).

The calculation puts the final energy at -58.9 eV/cell. As for the formation energy: -0.21 eV per atom. The value obtained for the density of states at the Fermi level is 0.98 states/eV/atom. The magnetic moment comes out at 0.00 μB/f.u.

***

# 17
Entry from Alexandria via LeMat-Bulk: a geometry-optimized TaAl2Ru2 structure (PBE).

It has space group P4/mbm (No. 127), with a = 7.0988 Å, b = 7.0988 Å, c = 3.0150 Å, α = 90.00°, β = 90.00° and γ = 90.00°. Symmetry generates all atoms from Ta at (0.0000, 0.0000, 0.0000), Al at (0.1458, 0.3542, 0.5000) and Ru at (0.1510, 0.6510, 0.0000).

The calculation puts the final energy at -79.6 eV/cell. As for the formation energy: -0.38 eV per atom. The value obtained for the density of states at the Fermi level is 0.51 states/eV/atom. The magnetic moment comes out at 0.00 μB/f.u.

***

# 18
Entry from Alexandria via LeMat-Bulk: a geometry-optimized TaAl2Ru structure (PBE).

It has space group I-42d (No. 122), with a = 7.0340 Å, b = 7.0340 Å, c = 5.3749 Å, α = 90.00°, β = 90.00° and γ = 90.00°. Symmetry generates all atoms from Ta at (0.0000, 0.0000, 0.0000), Al at (0.2205, 0.2500, 0.6250) and Ru at (0.0000, 0.0000, 0.5000).

The calculation puts the final energy at -112.6 eV/cell. As for the formation energy: 0.11 eV per atom. The value obtained for the density of states at the Fermi level is 0.74 states/eV/atom. The magnetic moment comes out at 0.00 μB/f.u.

***

# 19
Entry from Alexandria via LeMat-Bulk: a geometry-optimized TaAl2Ru structure (PBE).

It has space group P2/m (No. 10), with a = 2.8990 Å, b = 4.2083 Å, c = 5.2181 Å, α = 90.00°, β = 102.06° and γ = 90.00°. Symmetry generates all atoms from Ta at (0.0000, 0.0000, 0.0000), Al at (0.3351, 0.5000, 0.7366) and Ru at (0.5000, 0.0000, 0.5000).

The calculation puts the final energy at -29.8 eV/cell. As for the formation energy: -0.31 eV per atom. The value obtained for the density of states at the Fermi level is 0.41 states/eV/atom. The magnetic moment comes out at 0.00 μB/f.u.

***

# 20
Entry from Alexandria via LeMat-Bulk: a geometry-optimized Ta2AlRu structure (PBE).

It has space group I-42d (No. 122), with a = 7.3857 Å, b = 7.3857 Å, c = 5.3473 Å, α = 90.00°, β = 90.00° and γ = 90.00°. Symmetry generates all atoms from Ta at (0.2112, 0.2500, 0.1250), Al at (0.0000, 0.0000, 0.5000) and Ru at (0.0000, 0.0000, 0.0000).

The calculation puts the final energy at -141.7 eV/cell. As for the formation energy: 0.33 eV per atom. The value obtained for the density of states at the Fermi level is 1.15 states/eV/atom. The magnetic moment comes out at 0.00 μB/f.u.